No. 1
Mn2AlPb | PBE | optimized geometry

Unit cell a=4.1213 b=4.1221 c=3.9946 alpha=90.00 beta=90.00 gamma=90.00
Closest atoms and distances in Å follow each position.
Atoms (fractional coordinates):
Al 0.0000 0.5000 0.5000  8 Mn 2.87, 4 Pb 2.91
Mn 0.0000 0.0000 0.0000  4 Pb 2.87, 4 Al 2.87, 4 Mn 2.91
Mn 0.5000 0.5000 0.0000  4 Al 2.87, 4 Pb 2.87, 4 Mn 2.91
Pb 0.5000 0.0000 0.5000  8 Mn 2.87, 4 Al 2.91

No. 2
MnAlPb | PBE | optimized geometry

Unit cell a=4.5138 b=4.5138 c=4.5138 alpha=60.00 beta=60.00 gamma=60.00
Closest atoms and distances in Å follow each position.
Atoms (fractional coordinates):
Pb 0.0000 0.0000 0.0000  4 Mn 2.76
Mn 0.7500 0.7500 0.7500  4 Al 2.76, 4 Pb 2.76
Al 0.5000 0.5000 0.5000  4 Mn 2.76

Number 1: excess energy over the best structure of this formula in the dataset 88 meV/atom, total DFT energy (no corrections) -6.125 eV per atom. Number 2: excess energy over the best structure of this formula in the dataset 55 meV/atom, total DFT energy (no corrections) -5.214 eV per atom.